# LaSmIN, optimized geometry, DFT PBE
# - Energy above the lowest structure with this stoichiometry: 0.023 eV per formula unit
# - Crystal system: trigonal
# - Symmetry: P-3m1
data_LaSmIN
_cell_length_a 3.7984
_cell_length_b 3.7984
_cell_length_c 15.2930
_cell_angle_alpha 90.00
_cell_angle_beta 90.00
_cell_angle_gamma 120.00
_space_group_name_H-M_alt 'P 1'
_space_group_IT_number 1
_space_group_name_Hall 'P 1'
loop_
_atom_site_label
_atom_site_fract_x
_atom_site_fract_y
_atom_site_fract_z
_atom_site_occupancy
I1 0.6667 0.3333 0.7600 1
I2 0.3333 0.6667 0.2400 1
Sm1 0.3333 0.6667 0.9175 1
Sm2 0.6667 0.3333 0.0825 1
N1 0.0000 0.0000 0.0000 1
N2 0.0000 0.0000 0.5000 1
La1 0.6667 0.3333 0.4105 1
La2 0.3333 0.6667 0.5895 1